Material: NiRhIO2
Method: DFT, PBE with a Hubbard U
State: relaxed

Values from the calculation:
DOS at the Fermi energy (states/eV/atom): 1.0881
Mass density (Mg/m³): 5.8
Energy above the most stable polymorph in this dataset (meV/atom): 452
Crystal system: tetragonal
V (Å³ per cell): 92.5
Symmetry: P4/mmm, No. 123

a b c (Å): 3.7001 3.7001 6.7599
angles (deg): 90.00 90.00 90.00
Last column: magnetic moment on the atom in μB.
Fractional coordinates of all 5 atoms:
I 0.0000 0.0000 0.5000  0.04
Ni 0.0000 0.0000 0.0000  1.61
Rh 0.5000 0.5000 0.5000  0.33
O 0.0000 0.5000 0.0000  0.65
O 0.5000 0.0000 0.0000  0.65